Computed, not measured: Cs2ZrCl6F after structural relaxation at the PBE level of DFT.

```
data_Cs2ZrCl6F
_chemical_formula_sum 'Cs4 Zr2 Cl12 F2'
_cell_length_a 7.4685
_cell_length_b 7.4685
_cell_length_c 11.4469
_cell_angle_alpha 90.00
_cell_angle_beta 90.00
_cell_angle_gamma 90.00
_symmetry_space_group_name_H-M 'I 4/m m m'
_symmetry_Int_Tables_number 139
_symmetry_space_group_name_Hall '-I 4 2'
loop_
_atom_site_label
_atom_site_type_symbol
_atom_site_fract_x
_atom_site_fract_y
_atom_site_fract_z
Cs1 Cs 0.0000 0.5000 0.2500
Zr1 Zr 0.0000 0.0000 0.0000
Cl1 Cl 0.0000 0.0000 0.2176
Cl2 Cl 0.2355 0.2355 0.0000
F1 F 0.0000 0.0000 0.5000
```

crystal system: tetragonal
formation energy (no corrections): -17.23 eV per formula unit
DOS(E_F): 7.9 states/eV/cell

Computed, not measured: Cs2ZrCl4F2 after structural relaxation at the PBE level of DFT.

```
data_Cs2ZrCl4F2
_chemical_formula_sum 'Cs4 Zr2 Cl8 F4'
_cell_length_a 12.1775
_cell_length_b 7.4982
_cell_length_c 6.0299
_cell_angle_alpha 90.00
_cell_angle_beta 101.23
_cell_angle_gamma 90.00
_symmetry_space_group_name_H-M 'C 1 2/m 1'
_symmetry_Int_Tables_number 12
_symmetry_space_group_name_Hall '-C 2y'
loop_
_atom_site_label
_atom_site_type_symbol
_atom_site_fract_x
_atom_site_fract_y
_atom_site_fract_z
Cs1 Cs 0.1716 0.0000 0.3272
Zr1 Zr 0.0000 0.5000 0.0000
Cl1 Cl 0.0919 0.2598 0.8088
F1 F 0.1333 0.5000 0.2574
```

crystal system: monoclinic
formation energy (no corrections): -22.08 eV per formula unit
DOS(E_F): 0.0 states/eV/cell

Computed, not measured: Cs2ZrClF6 after structural relaxation at the PBE level of DFT.

```
data_Cs2ZrClF6
_chemical_formula_sum 'Cs4 Zr2 Cl2 F12'
_cell_length_a 6.8856
_cell_length_b 6.8856
_cell_length_c 10.3328
_cell_angle_alpha 90.00
_cell_angle_beta 90.00
_cell_angle_gamma 90.00
_symmetry_space_group_name_H-M 'I 4/m m m'
_symmetry_Int_Tables_number 139
_symmetry_space_group_name_Hall '-I 4 2'
loop_
_atom_site_label
_atom_site_type_symbol
_atom_site_fract_x
_atom_site_fract_y
_atom_site_fract_z
Cs1 Cs 0.0000 0.5000 0.2500
Zr1 Zr 0.0000 0.0000 0.0000
Cl1 Cl 0.0000 0.0000 0.5000
F1 F 0.0000 0.0000 0.1972
F2 F 0.2093 0.2093 0.0000
```

crystal system: tetragonal
formation energy (no corrections): -28.67 eV per formula unit
DOS(E_F): 23.2 states/eV/cell

Computed, not measured: Cs2ZrCl2F4 after structural relaxation at the PBE level of DFT.

```
data_Cs2ZrCl2F4
_chemical_formula_sum 'Cs4 Zr2 Cl4 F8'
_cell_length_a 13.0979
_cell_length_b 6.6309
_cell_length_c 5.5524
_cell_angle_alpha 90.00
_cell_angle_beta 93.67
_cell_angle_gamma 90.00
_symmetry_space_group_name_H-M 'C 1 2/m 1'
_symmetry_Int_Tables_number 12
_symmetry_space_group_name_Hall '-C 2y'
loop_
_atom_site_label
_atom_site_type_symbol
_atom_site_fract_x
_atom_site_fract_y
_atom_site_fract_z
Cs1 Cs 0.1428 0.0000 0.1434
Zr1 Zr 0.0000 0.5000 0.5000
Cl1 Cl 0.1786 0.5000 0.3410
F1 F 0.0449 0.2784 0.7354
```

crystal system: monoclinic
formation energy (no corrections): -26.28 eV per formula unit
DOS(E_F): 0.0 states/eV/cell

Computed, not measured: CsFe3Cl after structural relaxation at the PBE level of DFT.

```
data_CsFe3Cl
_chemical_formula_sum 'Cs1 Fe3 Cl1'
_cell_length_a 4.5470
_cell_length_b 4.5470
_cell_length_c 4.5470
_cell_angle_alpha 90.00
_cell_angle_beta 90.00
_cell_angle_gamma 90.00
_symmetry_space_group_name_H-M 'P m -3 m'
_symmetry_Int_Tables_number 221
_symmetry_space_group_name_Hall '-P 4 2 3'
loop_
_atom_site_label
_atom_site_type_symbol
_atom_site_fract_x
_atom_site_fract_y
_atom_site_fract_z
Cs1 Cs 0.0000 0.0000 0.0000
Fe1 Fe 0.0000 0.5000 0.5000
Cl1 Cl 0.5000 0.5000 0.5000
```

crystal system: cubic
formation energy (no corrections): 6.63 eV per formula unit
DOS(E_F): 4.8 states/eV/cell
excess energy over the best structure of this formula in the dataset: 0 meV/atom

Computed, not measured: CsFeCl4 after structural relaxation at the PBE level of DFT.

```
data_CsFeCl4
_chemical_formula_sum 'Cs4 Fe4 Cl16'
_cell_length_a 12.0671
_cell_length_b 7.2590
_cell_length_c 9.7664
_cell_angle_alpha 90.00
_cell_angle_beta 90.00
_cell_angle_gamma 90.00
_symmetry_space_group_name_H-M 'P n m a'
_symmetry_Int_Tables_number 62
_symmetry_space_group_name_Hall '-P 2ac 2n'
loop_
_atom_site_label
_atom_site_type_symbol
_atom_site_fract_x
_atom_site_fract_y
_atom_site_fract_z
Cs1 Cs 0.1826 0.2500 0.1567
Fe1 Fe 0.0621 0.2500 0.6986
Cl1 Cl 0.0857 0.0035 0.8298
Cl2 Cl 0.1074 0.7500 0.3838
Cl3 Cl 0.1895 0.2500 0.5369
```

crystal system: orthorhombic
formation energy (no corrections): -7.68 eV per formula unit
excess energy over the best structure of this formula in the dataset: 0 meV/atom